(1)
A plane-wave DFT calculation with GGA-PBE was carried out for NaMn2Ru2 after structural relaxation.

Cell and atoms, written as CIF:
```
data_NaMn2Ru2
_chemical_formula_sum 'Na2 Mn4 Ru4'
_symmetry_space_group_name_H-M 'P 4/m b m'
_symmetry_Int_Tables_number 127
_symmetry_space_group_name_Hall '-P 4 2ab'
_cell_length_a 7.400
_cell_length_b 7.400
_cell_length_c 2.612
_cell_angle_alpha 90.00
_cell_angle_beta 90.00
_cell_angle_gamma 90.00
loop_
_atom_site_label
_atom_site_fract_x
_atom_site_fract_y
_atom_site_fract_z
_atom_site_occupancy
Na1 0.000 0.000 0.000 1
Mn1 0.115 0.385 0.000 1
Ru1 0.166 0.666 0.500 1
```

Calculated values
Energy relative to the elements, meV/atom: 365
Volume, Å³/atom: 14.30
Magnetization, μB/atom: 0.0004

***

(2)
A plane-wave DFT calculation with GGA-PBE was carried out for NaMn2Ru after structural relaxation.

Cell and atoms, written as CIF:
```
data_NaMn2Ru
_chemical_formula_sum 'Na4 Mn8 Ru4'
_symmetry_space_group_name_H-M 'I -4 2 d'
_symmetry_Int_Tables_number 122
_symmetry_space_group_name_Hall 'I -4 2bw'
_cell_length_a 7.178
_cell_length_b 7.178
_cell_length_c 5.778
_cell_angle_alpha 90.00
_cell_angle_beta 90.00
_cell_angle_gamma 90.00
loop_
_atom_site_label
_atom_site_fract_x
_atom_site_fract_y
_atom_site_fract_z
_atom_site_occupancy
Na1 0.000 0.000 0.000 1
Mn1 0.204 0.750 0.625 1
Ru1 0.000 0.000 0.500 1
```

Calculated values
Offset from the most stable computed form, meV per atom: 5
Energy relative to the elements, meV/atom: 958
Volume, Å³/atom: 18.61
Magnetization, μB/atom: 1.9401

***

(3)
A plane-wave DFT calculation with GGA-PBE was carried out for NaMnRu2 after structural relaxation.

Cell and atoms, written as CIF:
```
data_NaMnRu2
_chemical_formula_sum 'Na4 Mn4 Ru8'
_symmetry_space_group_name_H-M 'I -4 2 d'
_symmetry_Int_Tables_number 122
_symmetry_space_group_name_Hall 'I -4 2bw'
_cell_length_a 6.952
_cell_length_b 6.952
_cell_length_c 5.343
_cell_angle_alpha 90.00
_cell_angle_beta 90.00
_cell_angle_gamma 90.00
loop_
_atom_site_label
_atom_site_fract_x
_atom_site_fract_y
_atom_site_fract_z
_atom_site_occupancy
Na1 0.000 0.000 0.000 1
Mn1 0.000 0.000 0.500 1
Ru1 0.186 0.250 0.625 1
```

Calculated values
Offset from the most stable computed form, meV per atom: 122
Energy relative to the elements, meV/atom: 857
Volume, Å³/atom: 16.14
Magnetization, μB/atom: 0.0000

***

(4)
A plane-wave DFT calculation with GGA-PBE was carried out for NaMn2Ru after structural relaxation.

Cell and atoms, written as CIF:
```
data_NaMn2Ru
_chemical_formula_sum 'Na4 Mn8 Ru4'
_symmetry_space_group_name_H-M 'F m -3 m'
_symmetry_Int_Tables_number 225
_symmetry_space_group_name_Hall '-F 4 2 3'
_cell_length_a 5.955
_cell_length_b 5.955
_cell_length_c 5.955
_cell_angle_alpha 90.00
_cell_angle_beta 90.00
_cell_angle_gamma 90.00
loop_
_atom_site_label
_atom_site_fract_x
_atom_site_fract_y
_atom_site_fract_z
_atom_site_occupancy
Na1 0.000 0.000 0.000 1
Mn1 0.250 0.250 0.250 1
Ru1 0.000 0.000 0.500 1
```

Calculated values
Offset from the most stable computed form, meV per atom: 0
Energy relative to the elements, meV/atom: 953
Volume, Å³/atom: 13.20
Magnetization, μB/atom: 0.0001

***

(5)
A plane-wave DFT calculation with GGA-PBE was carried out for Na2MnRuS after structural relaxation.

Cell and atoms, written as CIF:
```
data_Na2MnRuS
_chemical_formula_sum 'Na2 Mn1 Ru1 S1'
_symmetry_space_group_name_H-M 'P 4/m m m'
_symmetry_Int_Tables_number 123
_symmetry_space_group_name_Hall '-P 4 2'
_cell_length_a 5.120
_cell_length_b 5.120
_cell_length_c 4.540
_cell_angle_alpha 90.00
_cell_angle_beta 90.00
_cell_angle_gamma 90.00
loop_
_atom_site_label
_atom_site_fract_x
_atom_site_fract_y
_atom_site_fract_z
_atom_site_occupancy
Na1 0.000 0.500 0.000 1
Mn1 0.000 0.000 0.500 1
Ru1 0.500 0.500 0.500 1
S1 0.000 0.000 0.000 1
```

Calculated values
Uncorrected formation energy, eV/atom: 0.638
Volume, Å³/atom: 23.80
Magnetization, μB/atom: 1.3754

***

(6)
A plane-wave DFT calculation with GGA-PBE was carried out for NaMn2SbRu after structural relaxation.

Cell and atoms, written as CIF:
```
data_NaMn2SbRu
_chemical_formula_sum 'Na1 Mn2 Sb1 Ru1'
_symmetry_space_group_name_H-M 'P 4/m m m'
_symmetry_Int_Tables_number 123
_symmetry_space_group_name_Hall '-P 4 2'
_cell_length_a 5.057
_cell_length_b 5.057
_cell_length_c 4.955
_cell_angle_alpha 90.00
_cell_angle_beta 90.00
_cell_angle_gamma 90.00
loop_
_atom_site_label
_atom_site_fract_x
_atom_site_fract_y
_atom_site_fract_z
_atom_site_occupancy
Na1 0.000 0.000 0.000 1
Mn1 0.000 0.500 0.500 1
Sb1 0.500 0.500 0.500 1
Ru1 0.500 0.500 0.000 1
```

Calculated values
Uncorrected formation energy, eV/atom: 1.015
Volume, Å³/atom: 25.34
Magnetization, μB/atom: 1.5992

***

(7)
A plane-wave DFT calculation with GGA-PBE was carried out for NaYMn2Ru after structural relaxation.

Cell and atoms, written as CIF:
```
data_NaYMn2Ru
_chemical_formula_sum 'Na1 Y1 Mn2 Ru1'
_symmetry_space_group_name_H-M 'P 4/m m m'
_symmetry_Int_Tables_number 123
_symmetry_space_group_name_Hall '-P 4 2'
_cell_length_a 4.985
_cell_length_b 4.985
_cell_length_c 5.164
_cell_angle_alpha 90.00
_cell_angle_beta 90.00
_cell_angle_gamma 90.00
loop_
_atom_site_label
_atom_site_fract_x
_atom_site_fract_y
_atom_site_fract_z
_atom_site_occupancy
Na1 0.000 0.000 0.000 1
Y1 0.500 0.500 0.000 1
Mn1 0.000 0.500 0.500 1
Ru1 0.500 0.500 0.500 1
```

Calculated values
Energy relative to the elements, meV/atom: 559
Volume, Å³/atom: 25.67
Magnetization, μB/atom: 1.7049

***

(8)
A plane-wave DFT calculation with GGA-PBE was carried out for Na5Mn2S6 after structural relaxation.

Cell and atoms, written as CIF:
```
data_Na5Mn2S6
_chemical_formula_sum 'Na20 Mn8 S24'
_symmetry_space_group_name_H-M 'C 1 2/c 1'
_symmetry_Int_Tables_number 15
_symmetry_space_group_name_Hall '-C 2yc'
_cell_length_a 11.349
_cell_length_b 7.221
_cell_length_c 14.901
_cell_angle_alpha 90.00
_cell_angle_beta 102.02
_cell_angle_gamma 90.00
loop_
_atom_site_label
_atom_site_fract_x
_atom_site_fract_y
_atom_site_fract_z
_atom_site_occupancy
Na1 0.000 0.182 0.250 1
Na2 0.044 0.240 0.003 1
Na3 0.159 0.355 0.736 1
Mn1 0.231 0.371 0.432 1
S1 0.056 0.489 0.374 1
S2 0.140 0.016 0.644 1
S3 0.217 0.068 0.421 1
```

Calculated values
Uncorrected formation energy, eV/atom: -0.869
Volume, Å³/atom: 22.97
Magnetization, μB/atom: 0.3846